Crystalline VGa2Ni at its relaxed geometry, computed with GGA-PBE.

Calculated values
- energy relative to the elements (eV/atom) = -0.042
- density of states at the Fermi level (states/eV/atom) = 1.192

abc: 4.9396 4.9396 4.9396
angles: 47.70 47.70 47.70
Last column: nearest neighbours and their distance in Å.
Element x y z (fractional)
V (0.0000, 0.0000, 0.0000)  1 Ni 2.57, 7 Ga 2.61-2.82
Ga (0.5733, 0.5733, 0.5733)  3 Ni 2.38, 3 V 2.61
Ga (0.7846, 0.7846, 0.7846)  3 Ni 2.52, 4 Ga 2.77-2.81, 4 V 2.78-2.82
Ni (0.1962, 0.1962, 0.1962)  6 Ga 2.38-2.52, 1 V 2.57



Crystalline VGa2Ni at its relaxed geometry, computed with GGA-PBE.

Calculated values
- energy relative to the elements (eV/atom) = -0.158
- density of states at the Fermi level (states/eV/atom) = 0.886

abc: 4.2572 4.2572 4.2572
angles: 60.00 60.00 60.00
Last column: nearest neighbours and their distance in Å.
Element x y z (fractional)
V (0.0000, 0.0000, 0.0000)  8 Ga 2.61
Ga (0.2500, 0.2500, 0.2500)  4 Ni 2.61, 4 V 2.61
Ga (0.7500, 0.7500, 0.7500)  4 V 2.61, 4 Ni 2.61
Ni (0.5000, 0.5000, 0.5000)  8 Ga 2.61



Crystalline V4GaNi12 at its relaxed geometry, computed with GGA-PBE.

Calculated values
- energy relative to the elements (eV/atom) = 0.006
- density of states at the Fermi level (states/eV/atom) = 1.409

abc: 6.4271 6.4271 6.4271
angles: 109.47 109.47 109.47
Last column: nearest neighbours and their distance in Å.
Element x y z (fractional)
V (0.0000, 0.0000, 0.5000)  12 Ni 2.62-2.65
V (0.0000, 0.5000, 0.0000)  12 Ni 2.62-2.65
V (0.5000, 0.0000, 0.0000)  12 Ni 2.62-2.65
V (0.5000, 0.5000, 0.5000)  12 Ni 2.62-2.65
Ga (0.0000, 0.0000, 0.0000)  6 Ni 2.23
Ni (0.0000, 0.3006, 0.3006)  1 Ga 2.23, 4 Ni 2.37
Ni (0.0000, 0.6994, 0.6994)  1 Ga 2.23, 4 Ni 2.37
Ni (0.2500, 0.5000, 0.7500)  8 Ni 2.37-2.62, 4 V 2.62
Ni (0.2500, 0.7500, 0.5000)  8 Ni 2.37-2.62, 4 V 2.62
Ni (0.3006, 0.0000, 0.3006)  1 Ga 2.23, 4 Ni 2.37
Ni (0.3006, 0.3006, 0.0000)  1 Ga 2.23, 4 Ni 2.37
Ni (0.5000, 0.2500, 0.7500)  8 Ni 2.37-2.62, 4 V 2.62
Ni (0.5000, 0.7500, 0.2500)  8 Ni 2.37-2.62, 4 V 2.62
Ni (0.6994, 0.0000, 0.6994)  1 Ga 2.23, 4 Ni 2.37
Ni (0.6994, 0.6994, 0.0000)  1 Ga 2.23, 4 Ni 2.37
Ni (0.7500, 0.2500, 0.5000)  8 Ni 2.37-2.62, 4 V 2.62
Ni (0.7500, 0.5000, 0.2500)  8 Ni 2.37-2.62, 4 V 2.62



Crystalline V2GaNi9 at its relaxed geometry, computed with GGA-PBE.

Calculated values
- energy relative to the elements (eV/atom) = -0.258
- density of states at the Fermi level (states/eV/atom) = 0.685

abc: 3.5641 3.5641 10.6924
angles: 90.00 90.00 90.00
Last column: nearest neighbours and their distance in Å.
Element x y z (fractional)
V (0.0000, 0.0000, 0.1694)  12 Ni 2.46-2.54
V (0.0000, 0.0000, 0.8306)  12 Ni 2.46-2.54
Ga (0.0000, 0.0000, 0.5000)  12 Ni 2.52-2.56
Ni (0.0000, 0.5000, 0.0000)  8 Ni 2.50-2.52, 4 V 2.54
Ni (0.0000, 0.5000, 0.3280)  2 V 2.46, 8 Ni 2.50-2.56, 2 Ga 2.56
Ni (0.0000, 0.5000, 0.6720)  2 V 2.46, 8 Ni 2.50-2.56, 2 Ga 2.56
Ni (0.5000, 0.0000, 0.0000)  8 Ni 2.50-2.52, 4 V 2.54
Ni (0.5000, 0.0000, 0.3280)  2 V 2.46, 8 Ni 2.50-2.56, 2 Ga 2.56
Ni (0.5000, 0.0000, 0.6720)  2 V 2.46, 8 Ni 2.50-2.56, 2 Ga 2.56
Ni (0.5000, 0.5000, 0.1643)  8 Ni 2.50, 4 V 2.52
Ni (0.5000, 0.5000, 0.5000)  4 Ga 2.52, 8 Ni 2.56
Ni (0.5000, 0.5000, 0.8357)  8 Ni 2.50, 4 V 2.52



Crystalline V3GaNi at its relaxed geometry, computed with GGA-PBE.

Calculated values
- energy relative to the elements (eV/atom) = 0.203
- offset from the most stable computed form (meV/atom) = 0
- density of states at the Fermi level (states/eV/atom) = 0.841

abc: 5.9910 5.9910 5.9910
angles: 92.80 106.41 131.96
Last column: nearest neighbours and their distance in Å.
Element x y z (fractional)
V (0.0923, 0.9928, 0.5995)  1 Ni 2.32, 4 V 2.42-2.56, 1 Ga 2.49
V (0.2245, 0.0034, 0.2279)  4 V 2.42-2.56, 2 Ni 2.48-2.52
V (0.2245, 0.4966, 0.7211)  4 V 2.42-2.56, 2 Ni 2.48-2.52
V (0.3934, 0.4928, 0.4005)  1 Ni 2.32, 4 V 2.42-2.56, 1 Ga 2.49
V (0.7755, 0.5034, 0.2789)  4 V 2.42-2.56, 2 Ni 2.48-2.52
V (0.7755, 0.9966, 0.7721)  4 V 2.42-2.56, 2 Ni 2.48-2.52
Ga (0.7410, 0.4930, 0.7479)  2 Ni 2.37-2.60, 1 V 2.49
Ga (0.7451, 0.9930, 0.2521)  2 Ni 2.37-2.60, 1 V 2.49
Ni (0.1040, 0.5259, 0.0781)  5 V 2.32-2.52, 1 Ga 2.37
Ni (0.4478, 0.0259, 0.9219)  5 V 2.32-2.52, 1 Ga 2.37



Crystalline V8Ga2Ni at its relaxed geometry, computed with GGA-PBE.

Calculated values
- energy relative to the elements (eV/atom) = 0.362
- density of states at the Fermi level (states/eV/atom) = 1.084

abc: 6.3144 6.3144 4.5177
angles: 102.69 102.69 79.42
Last column: nearest neighbours and their distance in Å.
Element x y z (fractional)
V (0.0743, 0.0743, 0.2951)  7 V 2.52-2.73, 1 Ga 2.64
V (0.1450, 0.6617, 0.1470)  2 V 2.26-2.52, 1 Ni 2.45
V (0.2187, 0.2187, 0.9048)  2 V 2.26
V (0.3383, 0.8550, 0.8530)  2 V 2.26-2.52, 1 Ni 2.45
V (0.6617, 0.1450, 0.1470)  2 V 2.26-2.52, 1 Ni 2.45
V (0.7813, 0.7813, 0.0952)  2 V 2.26
V (0.8550, 0.3383, 0.8530)  2 V 2.26-2.52, 1 Ni 2.45
V (0.9257, 0.9257, 0.7049)  7 V 2.52-2.73, 1 Ga 2.64
Ga (0.3575, 0.3575, 0.4919)  1 Ni 2.32, 1 V 2.60
Ga (0.6425, 0.6425, 0.5081)  1 Ni 2.32, 1 V 2.60
Ni (0.5000, 0.5000, 0.0000)  2 Ga 2.32, 4 V 2.45



Crystalline V2GaNi3 at its relaxed geometry, computed with GGA-PBE.

Calculated values
- energy relative to the elements (eV/atom) = -0.199
- offset from the most stable computed form (meV/atom) = 0
- density of states at the Fermi level (states/eV/atom) = 1.126

abc: 5.8534 5.8534 3.6710
angles: 90.00 90.00 144.41
Last column: nearest neighbours and their distance in Å.
Element x y z (fractional)
V (0.1719, 0.8281, 0.0000)  2 V 2.50, 8 Ni 2.55-2.65, 2 Ga 2.62
V (0.8281, 0.1719, 0.0000)  2 V 2.50, 8 Ni 2.55-2.65, 2 Ga 2.62
Ga (0.5000, 0.5000, 0.0000)  8 Ni 2.56-2.63, 4 V 2.62
Ni (0.0000, 0.0000, 0.5000)  4 Ga 2.56, 4 Ni 2.60, 4 V 2.65
Ni (0.3305, 0.6695, 0.5000)  4 Ni 2.53-2.60, 6 V 2.55-2.56, 2 Ga 2.63
Ni (0.6695, 0.3305, 0.5000)  4 Ni 2.53-2.60, 6 V 2.55-2.56, 2 Ga 2.63



Crystalline YVGaNi2 at its relaxed geometry, computed with GGA-PBE.

Calculated values
- energy relative to the elements (eV/atom) = 0.740
- density of states at the Fermi level (states/eV/atom) = 1.259

abc: 4.4023 4.4023 5.1879
angles: 90.00 90.00 90.00
Last column: nearest neighbours and their distance in Å.
Element x y z (fractional)
Y (0.0000, 0.0000, 0.0000)  2 Ga 2.59
V (0.5000, 0.5000, 0.0000)  4 Y 3.11, 8 Ni 3.40
Ga (0.0000, 0.0000, 0.5000)  4 Ni 2.20
Ni (0.0000, 0.5000, 0.5000)  2 Ga 2.20
Ni (0.5000, 0.0000, 0.5000)  2 Ga 2.20



no.,final energy (Ha/atom)
1,-0.1941
2,-0.1983
3,-0.2351
4,-0.2339
5,-0.2583
6,-0.2699
7,-0.2438
8,-0.1946